An optimized crystal structure of La2Pr2NdSm2. Source: Alexandria, functional GGA-PBE.

## Properties
The value obtained for the calculated total energy is -66.99 eV per cell. The value obtained for the energy relative to the elements is 0.018 eV per atom.

```
data_La2Pr2NdSm2
_cell_length_a 11.688
_cell_length_b 5.225
_cell_length_c 8.277
_cell_angle_alpha 90.00
_cell_angle_beta 98.08
_cell_angle_gamma 90.00
_space_group_name_H-M_alt 'C 1 2/m 1'
_space_group_IT_number 12
loop_
_space_group_symop_operation_xyz
'x,y,z'
'-x,-y,-z'
'-x,y,-z'
'x,-y,z'
'x+1/2,y+1/2,z'
'-x+1/2,-y+1/2,-z'
'-x+1/2,y+1/2,-z'
'x+1/2,-y+1/2,z'
loop_
_atom_site_label
_atom_site_type_symbol
_atom_site_fract_x
_atom_site_fract_y
_atom_site_fract_z
La1 La 0.142 0.000 0.427
Pr1 Pr 0.215 0.500 0.142
Nd1 Nd 0.000 0.000 0.000
Sm1 Sm 0.071 0.500 0.715
```

An optimized crystal structure of NaPrBr2. Source: Alexandria, functional GGA-PBE.

## Properties
The value obtained for the calculated total energy is -14.62 eV per cell. The calculation puts the polymorph energy (0 for the lowest one) at 0.016 eV per atom. The value obtained for the uncorrected formation energy is -1.294 eV per atom.

```
data_NaPrBr2
_cell_length_a 3.8796
_cell_length_b 3.8796
_cell_length_c 8.5348
_cell_angle_alpha 90.00
_cell_angle_beta 90.00
_cell_angle_gamma 120.00
_space_group_name_H-M_alt 'P -6 m 2'
_space_group_IT_number 187
_space_group_name_Hall 'P -6 2'
loop_
_atom_site_label
_atom_site_type_symbol
_atom_site_fract_x
_atom_site_fract_y
_atom_site_fract_z
Na1 Na 0.0000 0.0000 0.0000
Pr1 Pr 0.0000 0.0000 0.5000
Br1 Br 0.6667 0.3333 0.2340
```

An optimized crystal structure of AgAsSe2Br. Source: Alexandria, functional GGA-PBE.

## Properties
The value obtained for the calculated total energy is -14.32 eV per cell. The calculation puts the polymorph energy (0 for the lowest one) at 0.000 eV per atom. The value obtained for the uncorrected formation energy is 0.365 eV per atom.

```
data_AgAsSe2Br
_cell_length_a 5.048
_cell_length_b 5.048
_cell_length_c 5.345
_cell_angle_alpha 90.00
_cell_angle_beta 90.00
_cell_angle_gamma 90.00
_space_group_name_H-M_alt 'P 4/m m m'
_space_group_IT_number 123
_space_group_name_Hall '-P 4 2'
loop_
_atom_site_label
_atom_site_type_symbol
_atom_site_fract_x
_atom_site_fract_y
_atom_site_fract_z
Ag1 Ag 0.000 0.000 0.000
As1 As 0.500 0.500 0.500
Se1 Se 0.000 0.500 0.500
Br1 Br 0.500 0.500 0.000
```